Compound: Er2ThBe
Source: the Alexandria database
Functional: PBE
Structure: relaxed

```
Er2ThBe
1.0
1.738 1.003 11.137
-1.738 1.003 11.137
0.000 -2.006 11.137
Er Th Be
2 1 1
Cartesian
0.000 0.000 2.825
0.000 0.000 30.585
0.000 0.000 16.705
0.000 0.000 0.000
```

excess energy over the best structure of this formula in the dataset: 2.42 eV per formula unit
magnetic moment: 0.0 μB per cell
E_tot: -4.391 eV/atom
formation enthalpy at 0 K: 0.677 eV per atom

Compound: ScSnH2
Source: the Alexandria database
Functional: PBE
Structure: relaxed

```
ScSnH2
1.0
1.650 -6.038 0.000
1.650 6.038 0.000
0.000 0.000 5.504
Sc Sn H
2 2 4
Cartesian
1.650 3.324 4.128
1.650 -3.324 1.376
1.650 5.403 1.376
1.650 -5.403 4.128
1.650 2.319 0.316
1.650 2.319 2.436
1.650 -2.319 3.068
1.650 -2.319 5.188
```

excess energy over the best structure of this formula in the dataset: 0.00 eV per formula unit
magnetic moment: 0.0 μB per cell
E_tot: -4.692 eV/atom

Compound: TcIrN2
Source: the Alexandria database
Functional: PBE
Structure: relaxed

```
TcIrN2
1.0
1.391 0.803 6.570
-1.391 0.803 6.570
0.000 -1.606 6.570
Tc Ir N
1 1 2
Cartesian
0.000 0.000 0.000
0.000 0.000 9.855
0.000 0.000 7.898
0.000 0.000 11.812
```

formation energy (no corrections): 69.2 kJ/mol of formula units
excess energy over the best structure of this formula in the dataset: 0.00 eV per formula unit
magnetic moment: 0.0 μB per cell
E_tot: -8.790 eV/atom

Compound: ZnRe2Pt
Source: the Alexandria database
Functional: PBE
Structure: relaxed

```
ZnRe2Pt
1.0
1.448 -2.313 0.000
1.448 2.313 0.000
0.000 0.000 9.078
Zn Re Pt
1 2 1
Cartesian
0.000 0.000 0.000
0.000 0.000 4.589
1.448 0.000 6.769
1.448 0.000 2.185
```

magnetic moment: 0.0 μB per cell
E_tot: -7.940 eV/atom
formation enthalpy at 0 K: 0.112 eV per atom

- Look up the E_tot of the first one.
  -4.391 eV/atom